# 1
Li3Ni4O8 | GGA-PBEsol | relaxed

extended XYZ file:
```
15
Lattice="5.519 0.011 -0.016 -2.687 4.954 0.022 -0.145 -3.113 4.589" Properties=species:S:1:pos:R:3 pbc="T T T"
O 0.000 1.535 1.042
O 4.004 -2.405 3.545
O -0.072 0.286 3.545
O 2.759 1.565 1.051
O 1.219 -2.404 3.543
O 2.687 0.316 3.554
O 1.370 -0.698 1.028
O 4.155 -0.699 1.030
Ni -1.344 2.477 0.011
Ni 0.000 0.000 0.000
Ni 1.344 0.926 2.298
Ni 2.759 0.005 -0.008
Li -0.072 -1.557 2.294
Li -1.416 0.921 2.306
Li 1.416 2.483 0.003
```


# 2
Li11Ni12O24 | GGA-PBEsol | relaxed

extended XYZ file:
```
47
Lattice="-3.979 4.968 -4.036 -2.553 -6.998 -1.148 -1.431 1.530 8.310" Properties=species:S:1:pos:R:3 pbc="T T T"
O -2.013 -0.745 2.829
O -5.787 2.135 4.136
O -1.617 1.677 3.811
O -3.654 2.798 5.829
O -5.769 -0.740 2.977
O -2.055 -3.625 1.740
O -5.908 3.126 1.386
O -4.251 -0.424 -1.582
O -3.936 -3.469 6.318
O -6.408 -1.068 -3.195
O -3.712 -0.075 4.707
O -3.851 0.983 2.038
O -4.245 -4.344 -0.055
O -4.016 -2.491 3.766
O -3.948 1.991 -0.640
O -2.194 0.241 0.148
O -2.177 -2.635 -1.010
O -4.028 2.970 -3.192
O -1.556 0.569 6.321
O -4.113 -1.482 1.087
O -3.719 3.844 3.181
O -6.346 -2.176 -0.685
O -5.951 0.246 0.297
O -4.310 -3.298 -2.703
Li -1.992 -2.734 3.581
Li -2.032 -1.653 0.898
Li -2.124 -0.660 -1.685
Li -3.705 1.884 3.932
Li -3.810 2.906 1.260
Li -4.259 -2.383 -0.806
Li -3.888 3.975 -1.452
Li -4.153 -3.405 1.866
Li -4.409 -1.370 -3.499
Li -4.075 -4.475 4.578
Li -5.932 1.153 2.228
Ni -1.930 1.953 -0.691
Ni -4.045 0.265 0.241
Ni -3.831 -1.789 5.529
Ni -6.208 -0.407 -1.476
Ni -3.919 -0.765 2.885
Ni -4.132 1.290 -2.403
Ni -5.649 3.871 3.245
Ni -1.849 0.951 1.958
Ni -2.314 -4.371 -0.119
Ni -1.755 -0.093 4.602
Ni -6.115 -1.450 1.168
Ni -6.034 -2.453 3.817
```


# 3
LiNi2O3 | GGA-PBEsol | relaxed

extended XYZ file:
```
24
Lattice="5.002 -0.014 0.022 2.477 4.304 0.005 0.787 1.453 9.354" Properties=species:S:1:pos:R:3 pbc="T T T"
O 4.667 3.646 5.760
O 2.894 0.848 1.079
O 2.707 3.591 8.145
O 3.600 2.097 3.622
O 5.319 2.206 8.364
O 1.301 0.700 3.672
O 1.977 2.302 5.897
O 2.948 3.537 1.017
O 5.560 2.152 1.237
O 5.373 4.895 8.303
O 6.965 5.043 5.709
O 6.290 3.441 3.484
Li 4.595 0.697 2.358
Li 4.591 3.564 2.353
Li 3.675 2.179 7.028
Li 3.672 5.046 7.024
Ni 6.173 3.607 7.037
Ni 2.094 2.136 2.344
Ni 2.870 3.586 4.707
Ni 2.895 0.719 4.688
Ni 5.397 2.156 4.674
Ni 2.035 2.179 9.336
Ni 3.740 2.145 0.014
Ni 6.231 3.564 0.046
```


# 4
LiNiO2 | GGA-PBEsol | relaxed

extended XYZ file:
```
8
Lattice="2.909 0.000 0.000 0.000 4.894 0.009 -1.454 -0.937 4.645" Properties=species:S:1:pos:R:3 pbc="T T T"
Li 0.718 1.223 0.002
Li 2.191 3.670 0.007
Ni -0.727 1.979 2.327
Ni 0.727 -0.468 2.323
O -0.599 3.558 3.362
O 2.053 0.399 1.293
O 0.856 2.846 1.298
O 0.599 1.111 3.357
```


# 5
LiNi2O4 | GGA-PBEsol | relaxed

extended XYZ file:
```
14
Lattice="5.658 -0.061 0.041 -2.771 4.932 -0.057 -0.077 -3.231 4.646" Properties=species:S:1:pos:R:3 pbc="T T T"
Ni 1.405 0.820 2.315
Ni -1.424 0.850 2.294
Ni 2.829 -0.030 0.020
Ni 2.791 -1.646 2.343
O 1.553 -0.731 1.238
O 2.805 -0.005 3.292
O 0.005 1.645 1.338
O 1.257 2.371 3.391
O 4.066 -0.760 1.255
O 2.835 1.429 1.228
O -0.025 0.211 3.402
O -1.256 2.400 3.375
Li 2.863 3.242 0.573
Li -0.053 -1.602 4.057
```


# 6
Li3NiO | GGA-PBEsol | relaxed

extended XYZ file:
```
5
Lattice="-0.548 0.423 -3.756 1.608 -3.408 -0.618 -3.421 -1.670 0.311" Properties=species:S:1:pos:R:3 pbc="T T T"
O 0.000 0.000 0.000
Li 0.804 -1.704 -0.309
Li -0.274 0.211 -1.878
Li -1.710 -0.835 0.155
Ni -1.180 -2.328 -2.032
```


# 7
LiNiO2 | GGA-PBEsol | relaxed

extended XYZ file:
```
20
Lattice="4.982 0.039 0.025 -0.832 4.874 -0.056 -1.791 -2.626 6.724" Properties=species:S:1:pos:R:3 pbc="T T T"
Li -0.478 3.361 2.709
Li 1.180 1.144 3.347
Li 0.312 -0.630 5.277
Li 2.838 -1.073 3.984
Li 2.049 2.917 1.417
O -1.273 -1.800 5.762
O -0.591 0.098 3.644
O 2.093 -0.295 2.257
O 3.053 1.274 0.325
O 2.059 0.634 5.153
O -0.693 1.014 6.368
O 0.301 1.653 1.541
O 3.633 4.087 0.932
O 0.267 2.583 4.437
O 2.951 2.190 3.050
Ni 1.123 2.047 6.001
Ni 3.689 0.698 2.043
Ni -1.329 1.589 4.650
Ni 1.237 0.241 0.693
Ni -0.416 2.437 -0.028
```


# 8
Li8Ni5O10 | GGA-PBEsol | relaxed

extended XYZ file:
```
23
Lattice="5.371 -0.087 -0.048 2.579 5.063 -0.042 -0.075 2.978 7.089" Properties=species:S:1:pos:R:3 pbc="T T T"
Li 5.738 4.079 0.398
Li 0.281 2.675 6.074
Li 2.137 3.875 6.600
Li 5.679 3.347 3.462
Li 4.657 4.917 2.222
Li 7.594 5.279 0.924
Li 2.196 4.607 3.537
Li 3.218 3.037 4.776
O 3.104 5.831 2.529
O 5.751 4.424 6.788
O 2.124 3.530 0.211
O 3.196 0.924 1.110
O 5.764 5.263 3.790
O 4.771 2.122 4.469
O 4.849 3.063 1.742
O 3.026 4.891 5.256
O 4.679 7.030 5.888
O 2.111 2.690 3.209
Ni 6.557 5.758 5.545
Ni 1.318 2.196 1.454
Ni 3.975 2.488 -0.045
Ni 3.960 1.651 2.764
Ni 3.915 6.302 4.234
```


# 9
LiNiO2 | GGA-PBEsol | relaxed

extended XYZ file:
```
4
Lattice="3.119 0.000 0.000 -1.560 2.701 0.000 0.000 0.000 6.782" Properties=species:S:1:pos:R:3 pbc="T T T"
O 0.000 0.000 1.644
O 0.000 0.000 5.139
Ni 0.000 0.000 0.000
Li 0.000 0.000 3.391
```


# 10
LiNiO2 | GGA-PBEsol | relaxed

extended XYZ file:
```
8
Lattice="-1.696 0.935 -1.969 2.150 -1.778 -0.759 -5.692 -7.463 1.358" Properties=species:S:1:pos:R:3 pbc="T T T"
Li -4.775 -5.571 -0.470
Li -0.547 -2.845 -0.880
Ni -3.242 -3.708 -0.906
Ni -4.833 -8.317 0.213
O -2.646 -5.386 -0.279
O -4.665 -7.398 -1.432
O -2.138 -2.960 0.435
O -1.000 -0.832 -1.471
```


# 11
Li4Ni11O22 | GGA-PBEsol | relaxed

extended XYZ file:
```
37
Lattice="7.411 0.038 -0.014 3.118 6.920 -0.068 2.783 -0.218 7.093" Properties=species:S:1:pos:R:3 pbc="T T T"
Ni 6.934 2.391 4.465
Ni 8.464 5.625 1.221
Ni 5.791 6.254 0.537
Ni 3.713 4.976 1.881
Ni 9.028 3.695 3.168
Ni 4.849 1.114 5.789
Ni 9.600 1.764 5.130
Ni 6.379 4.348 2.546
Ni 0.000 0.000 0.000
Ni 7.522 0.486 6.474
Ni 4.285 3.045 3.843
O 5.366 1.419 4.025
O 3.789 2.639 5.634
O 7.456 2.819 2.703
O 10.566 4.643 3.603
O 8.520 3.273 4.916
O 6.357 2.112 6.206
O 4.187 5.393 0.117
O 5.339 5.873 2.311
O 9.067 6.544 5.884
O 9.126 1.346 6.894
O 2.747 2.096 3.408
O 10.026 6.532 1.709
O 3.287 0.208 5.302
O 4.793 3.466 2.095
O 5.857 3.921 4.308
O 1.505 0.997 0.425
O 6.956 4.627 0.805
O 7.974 0.866 4.700
O 4.246 0.195 1.127
O 7.947 5.320 2.986
O 9.524 4.101 1.377
O 11.808 5.742 6.586
Li 5.560 4.007 6.327
Li 7.753 2.733 0.684
Li 3.627 0.296 3.107
Li 9.686 6.444 3.903
```


# 12
Li12Ni11O28 | GGA-PBEsol | relaxed

extended XYZ file:
```
51
Lattice="5.790 -0.023 0.028 1.699 6.078 0.033 1.451 0.995 12.697" Properties=species:S:1:pos:R:3 pbc="T T T"
Li 6.034 6.343 10.424
Li 2.977 1.377 5.418
Li 1.574 2.286 0.850
Li 7.405 4.098 9.143
Li 4.484 4.820 11.832
Li 5.864 1.944 8.196
Li 2.992 0.700 2.826
Li 7.315 3.465 6.337
Li 4.524 2.934 3.651
Li 5.933 4.375 1.894
Li 6.036 5.890 7.415
Li 2.966 2.610 10.872
O 4.338 6.730 11.356
O 5.789 3.088 5.159
O 3.202 3.971 7.703
O 5.770 2.389 2.168
O 4.298 4.824 3.177
O 4.359 5.359 5.939
O 4.384 4.022 0.634
O 7.684 6.835 11.354
O 4.383 5.987 8.662
O 7.167 2.168 9.679
O 1.829 4.909 3.190
O 3.153 3.343 5.101
O 1.723 4.274 0.587
O 4.519 1.690 6.660
O 4.620 2.911 12.267
O 5.809 4.359 10.346
O 7.645 5.519 5.960
O 4.579 0.996 4.074
O 7.656 6.079 8.644
O 1.243 0.202 1.362
O 4.541 2.386 9.657
O 3.113 2.622 2.138
O 5.745 3.885 7.714
O 1.307 0.851 4.073
O 7.152 2.761 12.296
O 4.540 0.372 1.402
O 1.369 1.479 6.670
O 3.175 4.573 10.315
Ni 3.092 5.100 4.550
Ni 4.486 3.524 6.374
Ni 3.121 6.425 9.994
Ni 5.806 0.637 2.745
Ni 4.415 2.221 0.909
Ni 4.483 4.153 9.088
Ni 8.922 7.005 12.756
Ni 5.862 2.595 10.917
Ni 3.069 4.452 1.843
Ni 5.821 1.285 5.434
Ni 3.114 5.800 7.275
```


| no. | raw formation energy (meV/atom) |
| --- | --- |
| 1 | -1150 |
| 2 | -1266 |
| 3 | -1091 |
| 4 | -1300 |
| 5 | -1127 |
| 6 | -606 |
| 7 | -1303 |
| 8 | -1276 |
| 9 | -470 |
| 10 | -1278 |
| 11 | -999 |
| 12 | -1260 |